(1)
Density functional theory data (PBE) for a geometry-optimized CsAgSnSe3 structure.

Cell and atoms, written as POSCAR:
```
CsAgSnSe3
1.0
9.153 0.000 0.000
0.000 4.183 0.000
-3.767 0.000 9.675
Cs Ag Sn Se
2 2 2 6
direct
0.240 0.250 0.286 Cs
0.760 0.750 0.714 Cs
0.057 0.250 0.593 Ag
0.943 0.750 0.407 Ag
0.324 0.750 0.858 Sn
0.676 0.250 0.142 Sn
0.125 0.250 0.866 Se
0.251 0.750 0.582 Se
0.460 0.750 0.135 Se
0.540 0.250 0.865 Se
0.749 0.250 0.418 Se
0.875 0.750 0.134 Se
```

Properties
- E above lowest polymorph: 0.000 eV/atom
- Space-group type: No. 11

***

(2)
Density functional theory data (PBE) for a geometry-optimized KLiCuF4 structure.

Cell and atoms, written as POSCAR:
```
KLiCuF4
1.0
5.097 0.000 0.000
-2.548 4.414 0.000
0.000 0.000 8.558
K Li Cu F
2 2 2 8
direct
0.000 0.000 0.000 K
0.000 0.000 0.500 K
0.333 0.667 0.298 Li
0.667 0.333 0.798 Li
0.333 0.667 0.725 Cu
0.667 0.333 0.225 Cu
0.022 0.710 0.250 F
0.290 0.312 0.250 F
0.312 0.022 0.750 F
0.333 0.667 0.503 F
0.667 0.333 0.003 F
0.688 0.978 0.250 F
0.710 0.688 0.750 F
0.978 0.290 0.750 F
```

Properties
- Space-group type: No. 173

***

(3)
Density functional theory data (PBE) for a geometry-optimized LiSc3Ag2Au2 structure.

Cell and atoms, written as POSCAR:
```
LiSc3Ag2Au2
1.0
4.777 0.000 0.000
0.000 4.778 0.000
-0.009 0.000 6.697
Li Sc Ag Au
1 3 2 2
direct
0.000 0.000 0.000 Li
0.507 0.500 0.500 Sc
0.512 0.500 0.000 Sc
0.999 0.000 0.500 Sc
0.012 0.500 0.761 Ag
0.493 0.000 0.239 Ag
0.010 0.500 0.256 Au
0.498 0.000 0.744 Au
```

Properties
- Space-group type: No. 6

***

(4)
Density functional theory data (PBE) for a geometry-optimized NaHf5 structure.

Cell and atoms, written as POSCAR:
```
NaHf5
1.0
6.036 0.000 0.000
-3.018 5.227 0.000
0.000 0.000 4.901
Na Hf
1 5
direct
0.000 0.000 0.000 Na
0.000 0.500 0.500 Hf
0.333 0.667 0.000 Hf
0.500 0.000 0.500 Hf
0.500 0.500 0.500 Hf
0.667 0.333 0.000 Hf
```

Properties
- E above lowest polymorph: 0.346 eV/atom
- Space-group type: No. 191

***

(5)
Density functional theory data (PBE) for a geometry-optimized Dy3Lu4Ni2Te2 structure.

Cell and atoms, written as POSCAR:
```
Dy3Lu4Ni2Te2
1.0
-1.911 7.676 4.720
1.911 -7.676 4.720
1.911 7.676 -4.720
Dy Lu Ni Te
3 4 2 2
direct
0.000 0.000 0.000 Dy
0.623 0.270 0.353 Dy
0.917 0.270 0.647 Dy
0.282 0.417 0.865 Lu
0.308 0.623 0.685 Lu
0.552 0.417 0.135 Lu
0.938 0.623 0.315 Lu
0.169 0.931 0.237 Ni
0.694 0.931 0.763 Ni
0.267 0.767 0.500 Te
0.659 0.659 0.000 Te
```

Properties
- E above lowest polymorph: 0.000 eV/atom
- Space-group type: No. 44

***

(6)
Density functional theory data (PBE) for a geometry-optimized Cu7Ag3 structure.

Cell and atoms, written as POSCAR:
```
Cu7Ag3
1.0
4.217 -1.903 0.000
4.217 1.903 0.000
-0.065 0.000 8.513
Cu Ag
7 3
direct
0.000 0.000 0.000 Cu
0.198 0.198 0.609 Cu
0.293 0.293 0.909 Cu
0.402 0.402 0.184 Cu
0.598 0.598 0.816 Cu
0.707 0.707 0.091 Cu
0.802 0.802 0.391 Cu
0.107 0.107 0.289 Ag
0.500 0.500 0.500 Ag
0.893 0.893 0.711 Ag
```

Properties
- E above lowest polymorph: 0.039 eV/atom
- Space-group type: No. 12
- Formation energy from the elements: 0.083 eV/atom

***

| no. | electronic total energy (eV/atom) |
| --- | --- |
| 1 | -3.58 |
| 2 | -4.11 |
| 3 | -4.64 |
| 4 | -7.82 |
| 5 | -5.17 |
| 6 | -3.37 |